## TiAlOF2 (PBE-GGA)

Data for an optimized crystal structure of TiAlOF2.

Unit cell a=3.958 b=3.958 c=3.626 alpha=90.00 beta=90.00 gamma=90.00
Space group P4/mmm (No. 123)
Unique sites:
Ti  0.000  0.000  0.000 (multiplicity 1)
Al  0.500  0.500  0.500 (multiplicity 1)
O  0.500  0.500  0.000 (multiplicity 1)
F  0.000  0.500  0.500 (multiplicity 2)

* offset from the most stable computed form: 1.042 eV per formula unit
* N(E_F): 1.10 states/eV/atom
* M_tot: 2.8 Bohr magnetons per cell
* uncorrected formation energy: -188.5 kJ per mole of atoms


## LiTcPd2 (PBE-GGA)

Data for an optimized crystal structure of LiTcPd2.

Unit cell a=4.678 b=4.678 c=2.699 alpha=90.00 beta=90.00 gamma=90.00
Space group P4/mmm (No. 123)
Unique sites:
Li  0.000  0.000  0.000 (multiplicity 1)
Tc  0.500  0.500  0.000 (multiplicity 1)
Pd  0.000  0.500  0.500 (multiplicity 2)

* offset from the most stable computed form: 0.322 eV per formula unit
* N(E_F): 0.84 states/eV/atom
* M_tot: 0.9 Bohr magnetons per cell
* energy relative to the elements: -39 meV per atom


no.,total DFT energy (no corrections) (eV per cell),mass density (Mg/m³)
1,-30.11,3.765
2,-22.82,8.931